## Gd5Er2Hg (GGA-PBE)

Data for Gd5Er2Hg after structural relaxation.

Unit cell a=5.5639 b=7.0627 c=12.2238 alpha=90.00 beta=90.00 gamma=90.00
Closest atoms and distances in Å follow each position.
Sites, in units of the cell vectors:
Gd  0.0000  0.0000  0.0000  4 Er 3.41-3.53, 8 Gd 3.42-3.55
Gd  0.0000  0.2442  0.2535  2 Hg 3.43, 6 Gd 3.45-3.61, 4 Er 3.46-3.60
Gd  0.0000  0.2558  0.7535  2 Hg 3.43, 6 Gd 3.45-3.61, 4 Er 3.46-3.60
Gd  0.0000  0.5000  0.5000  4 Er 3.41-3.53, 8 Gd 3.42-3.55
Gd  0.0000  0.7442  0.7535  2 Hg 3.43, 6 Gd 3.45-3.61, 4 Er 3.46-3.60
Gd  0.0000  0.7558  0.2535  2 Hg 3.43, 6 Gd 3.45-3.61, 4 Er 3.46-3.60
Gd  0.5000  0.2442  0.0822  6 Gd 3.42-3.61, 4 Er 3.44-3.62, 2 Hg 3.50-3.56
Gd  0.5000  0.2558  0.5822  6 Gd 3.42-3.61, 4 Er 3.44-3.62, 2 Hg 3.50-3.56
Gd  0.5000  0.7442  0.5822  6 Gd 3.42-3.61, 4 Er 3.44-3.62, 2 Hg 3.50-3.56
Gd  0.5000  0.7558  0.0822  6 Gd 3.42-3.61, 4 Er 3.44-3.62, 2 Hg 3.50-3.56
Er  0.0000  0.0000  0.4990  2 Hg 3.42, 10 Gd 3.46-3.60
Er  0.0000  0.5000  0.9990  2 Hg 3.42, 10 Gd 3.46-3.60
Er  0.5000  0.0000  0.8389  10 Gd 3.41-3.62, 2 Hg 3.53
Er  0.5000  0.5000  0.3389  10 Gd 3.41-3.62, 2 Hg 3.53
Hg  0.5000  0.0000  0.3366  4 Er 3.42-3.53, 8 Gd 3.43-3.56
Hg  0.5000  0.5000  0.8366  4 Er 3.42-3.53, 8 Gd 3.43-3.56

Summary:
As for the crystal system: orthorhombic. The total DFT energy (no corrections) is -4.123 eV per atom. The mass density is 9.1 g/cm3. Its space-group type is Amm2, No. 38. As for the formation enthalpy at 0 K: -0.83 kcal/mol of atoms. For the total magnetic moment, the calculation gives 1.05 μB/f.u.